(1)
AcPr2Y9: relaxed, PBE.

Cell lengths 5.1333, 5.1333, 15.4101 Å; angles 90.00, 90.00, 90.00 degrees
Fractional positions:
Ac 0.0000 0.0000 0.0000
Y 0.5000 0.5000 0.0000
Y 0.5000 0.0000 0.8283
Y 0.0000 0.5000 0.1717
Y 0.5000 0.5000 0.3357
Y 0.5000 0.5000 0.6643
Y 0.0000 0.5000 0.5000
Pr 0.0000 0.0000 0.3347
Y 0.0000 0.5000 0.8283
Pr 0.0000 0.0000 0.6653
Y 0.5000 0.0000 0.5000
Y 0.5000 0.0000 0.1717

Output
formation energy: 0.033 eV per atom
V: 33.8 Å³ per atom
electronic total energy: -5.95 eV per atom

(2)
AcCd3Cu2: relaxed, PBE.

Cell lengths 4.3825, 8.5560, 8.4960 Å; angles 115.88, 90.00, 104.84 degrees
Fractional positions:
Cu 0.2008 0.4016 0.6949
Cu 0.4850 0.9700 0.8464
Ac 0.8555 0.7110 0.9299
Cd 0.3916 0.7832 0.2874
Cu 0.7992 0.5984 0.3051
Cd 0.9620 0.9240 0.6309
Ac 0.1445 0.2890 0.0701
Cd 0.3189 0.6379 0.5537
Cd 0.6084 0.2168 0.7126
Cd 0.0380 0.0760 0.3691
Cd 0.6811 0.3621 0.4463
Cu 0.5150 0.0300 0.1536

Output
formation energy: -0.139 eV per atom
V: 22.9 Å³ per atom
electronic total energy: -2.65 eV per atom

(3)
Ce4DyIn: relaxed, PBE.

Cell lengths 5.5475, 6.4991, 9.6272 Å; angles 70.27, 90.00, 90.00 degrees
Site moments in Bohr magnetons follow the coordinates.
Fractional positions:
Dy 0.2500 0.8801 0.7398  0.06
Ce 0.7500 0.6693 0.6034  0.42
In 0.2500 0.3738 0.7525  -0.01
Ce 0.2500 0.4351 0.0932  0.23
In 0.7500 0.6262 0.2475  -0.01
Dy 0.7500 0.1199 0.2602  0.06
Ce 0.7500 0.2273 0.6034  0.42
Ce 0.2500 0.7727 0.3966  0.42
Ce 0.2500 0.9717 0.0932  0.23
Ce 0.7500 0.0283 0.9068  0.23
Ce 0.7500 0.5649 0.9068  0.23
Ce 0.2500 0.3307 0.3966  0.42

Output
formation energy: -0.090 eV per atom
V: 27.2 Å³ per atom
electronic total energy: -5.27 eV per atom

(4)
FeP2Br: relaxed, PBE.

Cell lengths 4.4837, 4.4837, 4.4837 Å; angles 60.00, 60.00, 60.00 degrees
Site moments in Bohr magnetons follow the coordinates.
Fractional positions:
Br 0.5000 0.5000 0.5000  0.02
P 0.0000 0.0000 0.0000  -0.07
P 0.2500 0.2500 0.2500  -0.06
Fe 0.7500 0.7500 0.7500  2.79

Output
V: 15.9 Å³ per atom
E above lowest polymorph: 929 meV per atom
ΔE_f (raw): 0.836 eV/atom
electronic total energy: -4.40 eV per atom

(5)
FeOs2Pd: relaxed, PBE.

Cell lengths 4.2999, 4.2999, 4.2999 Å; angles 60.00, 60.00, 60.00 degrees
Site moments in Bohr magnetons follow the coordinates.
Fractional positions:
Fe 0.0000 0.0000 0.0000  2.53
Os 0.7500 0.7500 0.7500  0.09
Os 0.2500 0.2500 0.2500  0.09
Pd 0.5000 0.5000 0.5000  -0.01

Output
formation energy: 0.517 eV per atom
V: 14.1 Å³ per atom
E above lowest polymorph: 0 meV per atom
electronic total energy: -8.51 eV per atom

(6)
Nd2Mg3Sc: relaxed, PBE.

Cell lengths 3.7670, 3.7670, 11.5302 Å; angles 90.00, 90.00, 90.00 degrees
Fractional positions:
Mg 0.0000 0.0000 0.0000
Mg 0.0000 0.0000 0.6448
Nd 0.5000 0.5000 0.8234
Sc 0.5000 0.5000 0.5000
Mg 0.0000 0.0000 0.3552
Nd 0.5000 0.5000 0.1766

Output
formation energy: -0.071 eV per atom
V: 27.3 Å³ per atom
electronic total energy: -3.51 eV per atom

(7)
Y4CoPb2: relaxed, PBE.

Cell lengths 4.9440, 4.9440, 8.9905 Å; angles 105.96, 105.96, 90.00 degrees
Fractional positions:
Y 0.5000 0.0000 0.0000
Y 0.0000 0.5000 0.0000
Y 0.8279 0.8279 0.6558
Pb 0.3605 0.3605 0.7209
Co 0.0000 0.0000 0.0000
Y 0.1721 0.1721 0.3442
Pb 0.6395 0.6395 0.2791

Output
formation energy: -0.332 eV per atom
V: 28.9 Å³ per atom
electronic total energy: -6.10 eV per atom

(8)
Sr2EuIn: relaxed, PBE.

Cell lengths 6.0196, 6.0196, 6.0196 Å; angles 60.00, 60.00, 60.00 degrees
Site moments in Bohr magnetons follow the coordinates.
Fractional positions:
Sr 0.2500 0.2500 0.2500  -0.04
In 0.5000 0.5000 0.5000  0.04
Eu 0.0000 0.0000 0.0000  -7.01
Sr 0.7500 0.7500 0.7500  -0.04

Output
formation energy: -0.140 eV per atom
V: 38.6 Å³ per atom
E above lowest polymorph: 50 meV per atom
electronic total energy: -4.23 eV per atom

(9)
LiTh3N: relaxed, PBE.

Cell lengths 5.0044, 5.0044, 5.0044 Å; angles 90.00, 90.00, 90.00 degrees
Fractional positions:
Li 0.5000 0.5000 0.5000
Th 0.0000 0.0000 0.5000
N 0.0000 0.0000 0.0000
Th 0.5000 0.0000 0.0000
Th 0.0000 0.5000 0.0000

Output
V: 25.1 Å³ per atom
ΔE_f (raw): -0.463 eV/atom
electronic total energy: -6.96 eV per atom

(10)
Mg2In2Pb7: relaxed, PBE.

Cell lengths 5.0955, 8.8384, 8.8552 Å; angles 119.94, 106.72, 90.00 degrees
Fractional positions:
Pb 0.3602 0.4774 0.7205
Pb 0.8642 0.2087 0.7284
Pb 0.1597 0.0569 0.3194
Pb 0.5000 0.9349 0.0000
Pb 0.8403 0.7375 0.6806
Mg 0.5000 0.3210 0.0000
In 0.6970 0.3160 0.3939
In 0.3030 0.9221 0.6061
Pb 0.1358 0.4803 0.2716
Mg 0.0000 0.6420 0.0000
Pb 0.6398 0.7570 0.2795

Output
formation energy: 0.026 eV per atom
V: 29.6 Å³ per atom
E above lowest polymorph: 0 meV per atom
electronic total energy: -3.12 eV per atom